First-principles (PBE) data for a relaxed structure of MnCr2Os, as listed in the Alexandria database.

Values from the calculation:
VASP energy = -9.1609 eV/atom
crystal system = tetragonal
N(E_F) = 1.314 states/eV per atom
energy of formation from the pure elements = 3.00 eV/f.u.

a b c (Å): 3.4929 3.4929 9.2365
angles (deg): 79.10 79.10 90.00
Closest atoms and distances in Å follow each position.
Element x y z (fractional)
Cr (0.5883, 0.1250, 0.2500)  2 Cr 2.30, 2 Mn 2.50
Cr (0.1617, 0.6250, 0.2500)  2 Cr 2.30, 2 Mn 2.50
Cr (0.3750, 0.4117, 0.7500)  2 Cr 2.30, 2 Mn 2.50
Cr (0.8750, 0.8383, 0.7500)  2 Cr 2.30, 2 Mn 2.50
Mn (0.5000, 0.5000, 0.0000)  4 Os 2.47, 4 Cr 2.50
Mn (0.2500, 0.7500, 0.5000)  4 Os 2.47, 4 Cr 2.50
Os (0.0000, 0.0000, 0.0000)  4 Mn 2.47, 4 Cr 2.59
Os (0.7500, 0.2500, 0.5000)  4 Mn 2.47, 4 Cr 2.59